# HoGa5Co

A relaxed HoGa5Co crystal (PBE-GGA, the Alexandria database).

a b c (Å): 4.211 4.211 6.818
angles (deg): 90.00 90.00 90.00
Sites, in units of the cell vectors:
Ho 0.000 0.000 0.000
Ga 0.000 0.500 0.310
Ga 0.000 0.500 0.690
Ga 0.500 0.000 0.310
Ga 0.500 0.000 0.690
Ga 0.500 0.500 0.000
Co 0.000 0.000 0.500

=====

# Ho3GaCo3

A relaxed Ho3GaCo3 crystal (PBE-GGA, the Alexandria database).

a b c (Å): 5.374 5.374 12.823
angles (deg): 90.00 90.00 135.74
Sites, in units of the cell vectors:
Ho 0.007 0.993 0.750
Ho 0.294 0.706 0.604
Ho 0.294 0.706 0.896
Ho 0.706 0.294 0.104
Ho 0.706 0.294 0.396
Ho 0.993 0.007 0.250
Ga 0.000 0.000 0.000
Ga 0.000 0.000 0.500
Co 0.293 0.707 0.250
Co 0.416 0.584 0.095
Co 0.416 0.584 0.405
Co 0.584 0.416 0.595
Co 0.584 0.416 0.905
Co 0.707 0.293 0.750

=====

# Ho8Ga3Co

A relaxed Ho8Ga3Co crystal (PBE-GGA, the Alexandria database).

a b c (Å): 9.970 9.970 6.901
angles (deg): 90.00 90.00 120.00
Sites, in units of the cell vectors:
Ho 0.000 0.000 0.025
Ho 0.000 0.000 0.525
Ho 0.073 0.537 0.000
Ho 0.173 0.346 0.303
Ho 0.173 0.827 0.303
Ho 0.333 0.667 0.620
Ho 0.346 0.173 0.803
Ho 0.463 0.537 0.000
Ho 0.463 0.927 0.000
Ho 0.537 0.073 0.500
Ho 0.537 0.463 0.500
Ho 0.654 0.827 0.303
Ho 0.667 0.333 0.120
Ho 0.827 0.173 0.803
Ho 0.827 0.654 0.803
Ho 0.927 0.463 0.500
Ga 0.163 0.327 0.752
Ga 0.163 0.837 0.752
Ga 0.327 0.163 0.252
Ga 0.673 0.837 0.752
Ga 0.837 0.163 0.252
Ga 0.837 0.673 0.252
Co 0.333 0.667 0.234
Co 0.667 0.333 0.734

=====

# Ho2GaCo3

A relaxed Ho2GaCo3 crystal (PBE-GGA, the Alexandria database).

a b c (Å): 5.215 5.215 8.048
angles (deg): 90.00 90.00 120.00
Sites, in units of the cell vectors:
Ho 0.333 0.667 0.065
Ho 0.333 0.667 0.435
Ho 0.667 0.333 0.565
Ho 0.667 0.333 0.935
Ga 0.000 0.000 0.000
Ga 0.000 0.000 0.500
Co 0.174 0.348 0.750
Co 0.174 0.826 0.750
Co 0.348 0.174 0.250
Co 0.652 0.826 0.750
Co 0.826 0.174 0.250
Co 0.826 0.652 0.250

=====

# HoGa4CoIr2

A relaxed HoGa4CoIr2 crystal (PBE-GGA, the Alexandria database).

a b c (Å): 8.751 8.751 8.751
angles (deg): 27.83 27.83 27.83
Sites, in units of the cell vectors:
Ho 0.000 0.000 0.000
Ga 0.133 0.133 0.133
Ga 0.400 0.400 0.400
Ga 0.600 0.600 0.600
Ga 0.867 0.867 0.867
Co 0.500 0.500 0.500
Ir 0.237 0.237 0.237
Ir 0.763 0.763 0.763

=====

# HoGa3CoIr

A relaxed HoGa3CoIr crystal (PBE-GGA, the Alexandria database).

a b c (Å): 6.536 6.536 5.409
angles (deg): 90.00 90.00 106.10
Sites, in units of the cell vectors:
Ho 0.208 0.792 0.750
Ho 0.792 0.208 0.250
Ga 0.252 0.252 0.000
Ga 0.252 0.252 0.500
Ga 0.321 0.679 0.250
Ga 0.679 0.321 0.750
Ga 0.748 0.748 0.000
Ga 0.748 0.748 0.500
Co 0.459 0.541 0.750
Co 0.541 0.459 0.250
Ir 0.087 0.913 0.250
Ir 0.913 0.087 0.750

=====

# HoGa4Co2Ir

A relaxed HoGa4Co2Ir crystal (PBE-GGA, the Alexandria database).

a b c (Å): 8.947 8.947 8.947
angles (deg): 26.51 26.51 26.51
Sites, in units of the cell vectors:
Ho 0.000 0.000 0.000
Ga 0.128 0.128 0.128
Ga 0.400 0.400 0.400
Ga 0.600 0.600 0.600
Ga 0.872 0.872 0.872
Co 0.235 0.235 0.235
Co 0.765 0.765 0.765
Ir 0.500 0.500 0.500

=====

# Ho2Ga4CoIr3

A relaxed Ho2Ga4CoIr3 crystal (PBE-GGA, the Alexandria database).

a b c (Å): 4.136 4.136 10.393
angles (deg): 90.00 90.00 90.00
Sites, in units of the cell vectors:
Ho 0.000 0.500 0.234
Ho 0.500 0.000 0.766
Ga 0.000 0.000 0.500
Ga 0.000 0.500 0.877
Ga 0.500 0.000 0.123
Ga 0.500 0.500 0.500
Co 0.500 0.500 0.000
Ir 0.000 0.000 0.000
Ir 0.000 0.500 0.640
Ir 0.500 0.000 0.360

=====

no.,formation energy from the elements (eV/atom)
1,-0.461
2,-0.372
3,-0.413
4,-0.338
5,-0.509
6,-0.371
7,-0.396
8,-0.631